# 1
Here is a geometry-optimized BeBi2Pd2 structure from Alexandria via LeMat-Bulk. Energies are from PBE.

Summary:
uncorrected energy = -4.4375 eV/atom
DFT formation energy = -0.063 eV per atom
magnetization = 0.000 μB/atom
SG = P4/mbm (127)
DOS(E_F) = 2.1 states/eV per cell

Cell lengths 6.3886, 6.3886, 4.9198 Å; angles 90.00, 90.00, 90.00 degrees
Atoms (fractional coordinates):
1 Bi 0.1789 0.6789 0.5000
2 Bi 0.8211 0.3211 0.5000
3 Be 0.5000 0.5000 0.0000
4 Pd 0.1576 0.3424 0.0000
5 Bi 0.3211 0.1789 0.5000
6 Pd 0.6576 0.1576 0.0000
7 Be 0.0000 0.0000 0.0000
8 Bi 0.6789 0.8211 0.5000
9 Pd 0.8424 0.6576 0.0000
10 Pd 0.3424 0.8424 0.0000

---

# 2
Here is a geometry-optimized Be2Bi2Pd structure from Alexandria via LeMat-Bulk. Energies are from PBE.

Summary:
uncorrected energy = -3.8071 eV/atom
DFT formation energy = 0.274 eV per atom
magnetization = 0.000 μB/atom
SG = P4/mbm (127)
DOS(E_F) = 5.5 states/eV per cell

Cell lengths 6.7844, 6.7844, 3.9825 Å; angles 90.00, 90.00, 90.00 degrees
Atoms (fractional coordinates):
1 Bi 0.3145 0.1855 0.5000
2 Be 0.3821 0.8821 0.0000
3 Pd 0.5000 0.5000 0.0000
4 Bi 0.8145 0.3145 0.5000
5 Pd 0.0000 0.0000 0.0000
6 Be 0.8821 0.6179 0.0000
7 Be 0.1179 0.3821 0.0000
8 Be 0.6179 0.1179 0.0000
9 Bi 0.6855 0.8145 0.5000
10 Bi 0.1855 0.6855 0.5000

---

The lowest DOS(E_F) belongs to which entry?
BeBi2Pd2